No. 1
DFT (PBE) results for crystalline Nd5SmTl2 at its relaxed geometry.

Summary:
D(E_F): 15.38 states/eV/f.u.
raw total energy: -67.6 eV/cell
energy of formation: -0.062 eV per atom
calculated density: 7.66 Mg/m³
relative energy among the computed polymorphs: 0.059 eV/atom

Unit cell a=5.6003 b=5.6003 c=20.4281 alpha=90.00 beta=90.00 gamma=120.00
Positions (direct):
Nd (0.3333, 0.6667, 0.9364)
Nd (0.6667, 0.3333, 0.4364)
Nd (0.6667, 0.3333, 0.0636)
Nd (0.3333, 0.6667, 0.7500)
Nd (0.0000, 0.0000, 0.8385)
Nd (0.0000, 0.0000, 0.6615)
Nd (0.0000, 0.0000, 0.3385)
Nd (0.3333, 0.6667, 0.5636)
Nd (0.0000, 0.0000, 0.1615)
Nd (0.6667, 0.3333, 0.2500)
Tl (0.6667, 0.3333, 0.9060)
Tl (0.3333, 0.6667, 0.0940)
Tl (0.6667, 0.3333, 0.5940)
Tl (0.3333, 0.6667, 0.4060)
Sm (0.6667, 0.3333, 0.7500)
Sm (0.3333, 0.6667, 0.2500)

---

No. 2
DFT (PBE) results for crystalline Nd12Sm3Tl at its relaxed geometry.

Summary:
D(E_F): 22.95 states/eV/f.u.
raw total energy: -74.2 eV/cell
energy of formation: -0.031 eV per atom
calculated density: 7.28 Mg/m³

Unit cell a=5.1121 b=5.1121 c=20.8205 alpha=90.00 beta=90.00 gamma=90.00
Positions (direct):
Nd (0.5000, 0.5000, 0.2456)
Nd (0.5000, 0.0000, 0.3734)
Nd (0.0000, 0.5000, 0.6266)
Nd (0.5000, 0.5000, 0.5000)
Nd (0.5000, 0.0000, 0.6266)
Nd (0.5000, 0.0000, 0.1206)
Nd (0.5000, 0.0000, 0.8794)
Nd (0.0000, 0.5000, 0.8794)
Nd (0.0000, 0.5000, 0.3734)
Nd (0.5000, 0.5000, 0.7544)
Nd (0.5000, 0.5000, 0.0000)
Nd (0.0000, 0.5000, 0.1206)
Sm (0.0000, 0.0000, 0.7524)
Sm (0.0000, 0.0000, 0.5000)
Sm (0.0000, 0.0000, 0.2476)
Tl (0.0000, 0.0000, 0.0000)

---

No. 3
DFT (PBE) results for crystalline Nd3SmTl2 at its relaxed geometry.

Summary:
D(E_F): 7.07 states/eV/f.u.
raw total energy: -50.8 eV/cell
energy of formation: -0.272 eV per atom
calculated density: 8.74 Mg/m³
relative energy among the computed polymorphs: 0.000 eV/atom

Unit cell a=5.2734 b=6.9116 c=10.3399 alpha=90.00 beta=90.00 gamma=90.00
Positions (direct):
Nd (0.5000, 0.6830, 0.1851)
Nd (0.0000, 0.4513, 0.9579)
Nd (0.5000, 0.1830, 0.8149)
Nd (0.0000, 0.3176, 0.3180)
Nd (0.0000, 0.8176, 0.6820)
Nd (0.0000, 0.9513, 0.0421)
Tl (0.5000, 0.2083, 0.1372)
Tl (0.0000, 0.7931, 0.3647)
Tl (0.5000, 0.7083, 0.8628)
Tl (0.0000, 0.2931, 0.6353)
Sm (0.5000, 0.0466, 0.4577)
Sm (0.5000, 0.5466, 0.5423)

---

No. 4
DFT (PBE) results for crystalline NdSm4Tl at its relaxed geometry.

Summary:
D(E_F): 7.42 states/eV/f.u.
raw total energy: -52.4 eV/cell
energy of formation: -0.030 eV per atom
calculated density: 7.95 Mg/m³
relative energy among the computed polymorphs: 0.074 eV/atom

Unit cell a=6.5957 b=9.1624 c=8.4348 alpha=112.77 beta=100.03 gamma=113.52
Positions (direct):
Tl (0.2504, 0.0004, 0.0007)
Tl (0.7496, 0.9996, 0.9993)
Sm (0.3627, 0.9065, 0.6211)
Sm (0.2154, 0.5936, 0.7549)
Sm (0.7846, 0.4064, 0.2451)
Sm (0.6373, 0.0935, 0.3789)
Sm (0.0395, 0.1613, 0.7549)
Sm (0.2416, 0.2854, 0.3789)
Sm (0.9605, 0.8387, 0.2451)
Sm (0.7584, 0.7146, 0.6211)
Nd (0.6614, 0.4114, 0.8228)
Nd (0.3386, 0.5886, 0.1772)

---

No. 5
DFT (PBE) results for crystalline Nd2SmTl4 at its relaxed geometry.

Summary:
D(E_F): 6.55 states/eV/f.u.
raw total energy: -50.8 eV/cell
energy of formation: -0.237 eV per atom
calculated density: 9.31 Mg/m³

Unit cell a=8.6168 b=7.5989 c=10.7122 alpha=135.16 beta=107.42 gamma=89.91
Positions (direct):
Nd (0.6231, 0.3663, 0.7433)
Nd (0.6311, 0.3416, 0.2153)
Nd (0.1318, 0.5629, 0.9375)
Nd (0.6272, 0.8683, 0.2426)
Tl (0.3769, 0.1857, 0.8311)
Tl (0.8554, 0.9659, 0.6113)
Tl (0.9017, 0.9757, 0.1262)
Tl (0.3796, 0.7287, 0.8339)
Tl (0.3662, 0.2414, 0.3716)
Tl (0.9044, 0.5325, 0.1304)
Tl (0.8533, 0.5087, 0.6125)
Tl (0.3643, 0.7511, 0.3709)
Sm (0.1147, 0.6063, 0.4837)
Sm (0.1202, 0.1149, 0.9896)

---

No. 6
DFT (PBE) results for crystalline Nd3Sm2Tl2 at its relaxed geometry.

Summary:
D(E_F): 5.83 states/eV/f.u.
raw total energy: -29.9 eV/cell
energy of formation: -0.204 eV per atom
calculated density: 8.57 Mg/m³
relative energy among the computed polymorphs: 0.000 eV/atom

Unit cell a=5.5609 b=5.5637 c=8.8606 alpha=108.30 beta=90.00 gamma=119.98
Positions (direct):
Sm (0.0766, 0.1531, 0.7295)
Sm (0.9234, 0.8469, 0.2705)
Tl (0.7842, 0.5684, 0.8523)
Tl (0.2158, 0.4316, 0.1477)
Nd (0.5000, 0.0000, 0.0000)
Nd (0.6548, 0.3096, 0.4647)
Nd (0.3452, 0.6904, 0.5353)

---

- energy of formation of number 1 (Nd5SmTl2)?
  -0.062 eV per atom